Entry 1:
# Li2CaPmSn2, optimized geometry, DFT PBE
# DOS(E_F) ... 0.488 states/eV/atom
# Energy relative to the elements ... -0.604 eV/atom
# Final energy ... -3.70 eV/atom
# Volume ... 150.8 Å³/cell
data_Li2CaPmSn2
_cell_length_a 4.8304
_cell_length_b 4.8304
_cell_length_c 7.4623
_cell_angle_alpha 90.00
_cell_angle_beta 90.00
_cell_angle_gamma 120.00
_space_group_name_H-M_alt 'P -3 m 1'
_space_group_IT_number 164
_space_group_name_Hall '-P 3 2"'
loop_
_atom_site_label
_atom_site_type_symbol
_atom_site_fract_x
_atom_site_fract_y
_atom_site_fract_z
Li1 Li 0.3333 0.6667 0.2485
Ca1 Ca 0.0000 0.0000 0.5000
Pm1 Pm 0.0000 0.0000 0.0000
Sn1 Sn 0.3333 0.6667 0.7673

Entry 2:
# Ac5Ir2O12, optimized geometry, DFT PBE
# DOS(E_F) ... 0.284 states/eV/atom
# Final energy ... -7.68 eV/atom
# ΔE_f (raw) ... -2537 meV/atom
# Volume ... 646.2 Å³/cell
data_Ac5Ir2O12
_cell_length_a 13.283
_cell_length_b 6.383
_cell_length_c 7.971
_cell_angle_alpha 90.00
_cell_angle_beta 107.02
_cell_angle_gamma 90.00
_space_group_name_H-M_alt 'C 1 2/m 1'
_space_group_IT_number 12
_space_group_name_Hall '-C 2y'
loop_
_atom_site_label
_atom_site_type_symbol
_atom_site_fract_x
_atom_site_fract_y
_atom_site_fract_z
Ac1 Ac 0.000 0.000 0.000
Ac2 Ac 0.190 0.500 0.855
Ac3 Ac 0.195 0.500 0.339
Ir1 Ir 0.000 0.245 0.500
O1 O 0.000 0.000 0.345
O2 O 0.002 0.500 0.341
O3 O 0.154 0.247 0.078
O4 O 0.158 0.263 0.579

Entry 3:
# BaLiMg6, optimized geometry, DFT PBE
# DOS(E_F) ... 0.777 states/eV/atom
# Polymorph energy (0 for the lowest one) ... 0.0000 eV/atom
# Energy relative to the elements ... 0.004 eV/atom
# Final energy ... -1.67 eV/atom
# Volume ... 672.4 Å³/cell
data_BaLiMg6
_cell_length_a 5.0487
_cell_length_b 5.0487
_cell_length_c 30.4623
_cell_angle_alpha 90.00
_cell_angle_beta 90.00
_cell_angle_gamma 120.00
_space_group_name_H-M_alt 'R -3 m'
_space_group_IT_number 166
_space_group_name_Hall '-R 3 2"'
loop_
_atom_site_label
_atom_site_type_symbol
_atom_site_fract_x
_atom_site_fract_y
_atom_site_fract_z
Ba1 Ba 0.0000 0.0000 0.0000
Li1 Li 0.0000 0.0000 0.5000
Mg1 Mg 0.0000 0.0000 0.1338
Mg2 Mg 0.0000 0.0000 0.2387
Mg3 Mg 0.0000 0.0000 0.4067

Entry 4:
# TmNiPd, optimized geometry, DFT PBE
# DOS(E_F) ... 0.808 states/eV/atom
# Energy relative to the elements ... -0.497 eV/atom
# Final energy ... -5.65 eV/atom
# Volume ... 103.6 Å³/cell
data_TmNiPd
_cell_length_a 3.410
_cell_length_b 3.410
_cell_length_c 8.907
_cell_angle_alpha 90.00
_cell_angle_beta 90.00
_cell_angle_gamma 90.00
_space_group_name_H-M_alt 'I 4 m m'
_space_group_IT_number 107
_space_group_name_Hall 'I 4 -2'
loop_
_atom_site_label
_atom_site_type_symbol
_atom_site_fract_x
_atom_site_fract_y
_atom_site_fract_z
Tm1 Tm 0.000 0.000 0.000
Ni1 Ni 0.000 0.000 0.333
Pd1 Pd 0.000 0.000 0.678

Entry 5:
# CaHfIn2, optimized geometry, DFT PBE
# DOS(E_F) ... 0.482 states/eV/atom
# Polymorph energy (0 for the lowest one) ... 0.0000 eV/atom
# Energy relative to the elements ... -0.268 eV/atom
# Final energy ... -4.63 eV/atom
# Volume ... 96.9 Å³/cell
data_CaHfIn2
_cell_length_a 3.245
_cell_length_b 3.245
_cell_length_c 9.204
_cell_angle_alpha 90.00
_cell_angle_beta 90.00
_cell_angle_gamma 90.00
_space_group_name_H-M_alt 'P 4/m m m'
_space_group_IT_number 123
_space_group_name_Hall '-P 4 2'
loop_
_atom_site_label
_atom_site_type_symbol
_atom_site_fract_x
_atom_site_fract_y
_atom_site_fract_z
Ca1 Ca 0.000 0.000 0.000
Hf1 Hf 0.000 0.000 0.500
In1 In 0.500 0.500 0.265

Entry 6:
# KLi4Mo, optimized geometry, DFT PBE
# DOS(E_F) ... 0.452 states/eV/atom
# Energy relative to the elements ... 0.706 eV/atom
# Final energy ... -2.56 eV/atom
# Volume ... 585.7 Å³/cell
data_KLi4Mo
_cell_length_a 8.367
_cell_length_b 8.367
_cell_length_c 8.367
_cell_angle_alpha 90.00
_cell_angle_beta 90.00
_cell_angle_gamma 90.00
_space_group_name_H-M_alt 'F -4 3 m'
_space_group_IT_number 216
_space_group_name_Hall 'F -4 2 3'
loop_
_atom_site_label
_atom_site_type_symbol
_atom_site_fract_x
_atom_site_fract_y
_atom_site_fract_z
K1 K 0.000 0.000 0.000
Li1 Li 0.122 0.122 0.622
Mo1 Mo 0.250 0.250 0.250